GeSb2Au2 after structural relaxation, computed with PBEsol.

Values from the calculation:
ρ, g/cm3: 10.59
Uncorrected formation energy, eV per atom: 0.151
Electronic total energy, eV/atom: -4.23
Spin magnetization, μB per cell: 0.00
Fermi-level density of states, states/eV/cell: 4.3

```
data_GeSb2Au2
_chemical_formula_sum 'Ge2 Sb4 Au4'
_cell_length_a 3.823
_cell_length_b 3.823
_cell_length_c 15.241
_cell_angle_alpha 90.00
_cell_angle_beta 90.00
_cell_angle_gamma 90.00
_space_group_name_H-M_alt 'I 4/m m m'
_space_group_IT_number 139
_space_group_name_Hall '-I 4 2'
loop_
_atom_site_label
_atom_site_fract_x
_atom_site_fract_y
_atom_site_fract_z
Ge1 0.000 0.000 0.000
Sb1 0.000 0.000 0.396
Au1 0.000 0.500 0.250
```

***

Ge2SbAu2 after structural relaxation, computed with PBEsol.

Values from the calculation:
ρ, g/cm3: 10.85
Uncorrected formation energy, eV per atom: 0.086
Electronic total energy, eV/atom: -4.37
Spin magnetization, μB per cell: 0.00
Fermi-level density of states, states/eV/cell: 4.1

```
data_Ge2SbAu2
_chemical_formula_sum 'Ge4 Sb2 Au4'
_cell_length_a 4.086
_cell_length_b 4.086
_cell_length_c 12.121
_cell_angle_alpha 90.00
_cell_angle_beta 90.00
_cell_angle_gamma 90.00
_space_group_name_H-M_alt 'I 4/m m m'
_space_group_IT_number 139
_space_group_name_Hall '-I 4 2'
loop_
_atom_site_label
_atom_site_fract_x
_atom_site_fract_y
_atom_site_fract_z
Ge1 0.000 0.500 0.250
Sb1 0.000 0.000 0.000
Au1 0.000 0.000 0.390
```

***

Sr2GeSbAu after structural relaxation, computed with PBEsol.

Values from the calculation:
ρ, g/cm3: 4.92
Uncorrected formation energy, eV per atom: 0.032
Electronic total energy, eV/atom: -3.39
Spin magnetization, μB per cell: 1.53
Fermi-level density of states, states/eV/cell: 4.3

```
data_Sr2GeSbAu
_chemical_formula_sum 'Sr2 Ge1 Sb1 Au1'
_cell_length_a 6.182
_cell_length_b 6.182
_cell_length_c 5.009
_cell_angle_alpha 90.00
_cell_angle_beta 90.00
_cell_angle_gamma 90.00
_space_group_name_H-M_alt 'P 4/m m m'
_space_group_IT_number 123
_space_group_name_Hall '-P 4 2'
loop_
_atom_site_label
_atom_site_fract_x
_atom_site_fract_y
_atom_site_fract_z
Sr1 0.000 0.500 0.000
Ge1 0.000 0.000 0.500
Sb1 0.500 0.500 0.000
Au1 0.500 0.500 0.500
```